No. 1
VASP calculation (PBE-GGA) on a relaxed structure of Pu2Al4CuAu3.

Cell lengths 4.318, 4.318, 10.603 Å; angles 90.00, 90.00, 90.00 degrees
Space group P-4m2 (No. 115)
Unique sites:
Pu1 0.000 0.500 0.243 x2
Al1 0.000 0.000 0.500 x1
Al2 0.000 0.500 0.873 x2
Al3 0.500 0.500 0.500 x1
Cu1 0.500 0.500 0.000 x1
Au1 0.000 0.000 0.000 x1
Au2 0.000 0.500 0.636 x2

Output
The final energy comes out at -6.192 eV per atom. As for the energy of formation: -0.436 eV/atom. The value obtained for the magnetic moment is 1.11 μB/atom.



No. 2
VASP calculation (PBE-GGA) on a relaxed structure of Mg2TaZn.

Cell lengths 11.008, 2.788, 5.432 Å; angles 90.00, 117.84, 90.00 degrees
Space group Cm (No. 8)
Unique sites:
Mg1 0.000 0.000 0.000 x2
Mg2 0.238 0.000 0.913 x2
Ta1 0.255 0.500 0.433 x2
Zn1 0.492 0.000 0.470 x2

Output
The final energy comes out at -3.885 eV per atom. As for the energy of formation: 0.194 eV/atom. The value obtained for the magnetic moment is 0.00 μB/atom.



No. 3
VASP calculation (PBE-GGA) on a relaxed structure of CaAlAg4.

Cell lengths 19.197, 5.357, 4.861 Å; angles 90.00, 104.45, 90.00 degrees
Space group C2/c (No. 15)
Unique sites:
Ca1 0.000 0.226 0.250 x4
Al1 0.250 0.250 0.000 x4
Ag1 0.103 0.328 0.854 x8
Ag2 0.175 0.175 0.424 x8

Output
The final energy comes out at -2.950 eV per atom. For the excess energy over the best structure of this formula in the dataset, the calculation gives 0.0167 eV/atom. As for the energy of formation: -0.092 eV/atom. The value obtained for the magnetic moment is 0.00 μB/atom.



No. 4
VASP calculation (PBE-GGA) on a relaxed structure of CuTcNi2H.

Cell lengths 3.643, 3.643, 3.842 Å; angles 90.00, 90.00, 90.00 degrees
Space group P4/mmm (No. 123)
Unique sites:
Cu1 0.000 0.000 0.000 x1
Tc1 0.500 0.500 0.000 x1
Ni1 0.000 0.500 0.500 x2
H1 0.500 0.500 0.500 x1

Output
The final energy comes out at -5.681 eV per atom. The value obtained for the magnetic moment is 0.01 μB/atom.



No. 5
VASP calculation (PBE-GGA) on a relaxed structure of CaMg2Tc.

Cell lengths 3.238, 5.173, 10.279 Å; angles 90.00, 90.00, 90.00 degrees
Space group Imm2 (No. 44)
Unique sites:
Ca1 0.000 0.000 0.000 x2
Mg1 0.000 0.000 0.553 x2
Mg2 0.000 0.500 0.785 x2
Tc1 0.000 0.500 0.261 x2

Output
The final energy comes out at -3.509 eV per atom. For the excess energy over the best structure of this formula in the dataset, the calculation gives 0.0928 eV/atom. As for the energy of formation: 0.381 eV/atom. The value obtained for the magnetic moment is 0.14 μB/atom.



No. 6
VASP calculation (PBE-GGA) on a relaxed structure of PmAg2P.

Cell lengths 4.059, 4.059, 5.179 Å; angles 90.00, 90.00, 90.00 degrees
Space group P4/mmm (No. 123)
Unique sites:
Pm1 0.000 0.000 0.000 x1
Ag1 0.000 0.500 0.500 x2
P1 0.500 0.500 0.000 x1

Output
The final energy comes out at -4.412 eV per atom. As for the energy of formation: -0.446 eV/atom. The value obtained for the magnetic moment is 0.00 μB/atom.



No. 7
VASP calculation (PBE-GGA) on a relaxed structure of Ti3ZnCu2.

Cell lengths 4.424, 13.197, 3.082 Å; angles 90.00, 90.00, 90.00 degrees
Space group Cmmm (No. 65)
Unique sites:
Ti1 0.000 0.000 0.000 x2
Ti2 0.000 0.327 0.000 x4
Zn1 0.000 0.500 0.500 x2
Cu1 0.000 0.159 0.500 x4

Output
The final energy comes out at -5.610 eV per atom. For the excess energy over the best structure of this formula in the dataset, the calculation gives 0.0040 eV/atom. As for the energy of formation: -0.085 eV/atom. The value obtained for the magnetic moment is 0.31 μB/atom.



No. 8
VASP calculation (PBE-GGA) on a relaxed structure of SrBe2BTe.

Cell lengths 5.377, 5.377, 5.051 Å; angles 90.00, 90.00, 90.00 degrees
Space group P4/mmm (No. 123)
Unique sites:
Sr1 0.000 0.000 0.000 x1
Be1 0.000 0.500 0.000 x2
B1 0.000 0.000 0.500 x1
Te1 0.500 0.500 0.500 x1

Output
The final energy comes out at -1.637 eV per atom. For the formation energy from raw total energies, the calculation gives 2.1534 eV per atom. The value obtained for the magnetic moment is 0.00 μB/atom.



No. 9
VASP calculation (PBE-GGA) on a relaxed structure of Al4OsRh3.

Cell lengths 3.008, 3.008, 12.015 Å; angles 90.00, 90.00, 90.00 degrees
Space group P4/mmm (No. 123)
Unique sites:
Al1 0.000 0.000 0.121 x2
Al2 0.000 0.000 0.374 x2
Os1 0.500 0.500 0.000 x1
Rh1 0.500 0.500 0.252 x2
Rh2 0.500 0.500 0.500 x1

Output
The final energy comes out at -6.975 eV per atom. As for the energy of formation: -0.943 eV/atom. The value obtained for the magnetic moment is 0.00 μB/atom.



No. 10
VASP calculation (PBE-GGA) on a relaxed structure of LiAl2Cd.

Cell lengths 2.891, 2.891, 8.663 Å; angles 90.00, 90.00, 90.00 degrees
Space group P4mm (No. 99)
Unique sites:
Li1 0.000 0.000 0.000 x1
Al1 0.000 0.000 0.477 x1
Al2 0.500 0.500 0.238 x1
Cd1 0.500 0.500 0.752 x1

Output
The final energy comes out at -2.632 eV per atom. As for the energy of formation: -0.054 eV/atom. The value obtained for the magnetic moment is 0.00 μB/atom.



No. 11
VASP calculation (PBE-GGA) on a relaxed structure of La2PtPb.

Cell lengths 3.666, 3.666, 8.394 Å; angles 90.00, 90.00, 90.00 degrees
Space group P4/mmm (No. 123)
Unique sites:
La1 0.000 0.000 0.212 x2
Pt1 0.500 0.500 0.000 x1
Pb1 0.500 0.500 0.500 x1

Output
The final energy comes out at -5.746 eV per atom. As for the energy of formation: -0.845 eV/atom. The value obtained for the magnetic moment is 0.00 μB/atom.



No. 12
VASP calculation (PBE-GGA) on a relaxed structure of Ce2SmWN4.

Cell lengths 3.452, 11.976, 11.908 Å; angles 90.00, 90.00, 90.00 degrees
Space group Cmcm (No. 63)
Unique sites:
Ce1 0.000 0.133 0.042 x8
Sm1 0.000 0.377 0.250 x4
W1 0.000 0.357 0.750 x4
N1 0.000 0.050 0.250 x4
N2 0.000 0.233 0.633 x8
N3 0.000 0.500 0.000 x4

Output
The final energy comes out at -8.899 eV per atom. For the formation energy from raw total energies, the calculation gives -1.0440 eV per atom. The value obtained for the magnetic moment is 0.00 μB/atom.



No. 13
VASP calculation (PBE-GGA) on a relaxed structure of ThCo6B3.

Cell lengths 5.0969, 5.0969, 14.6760 Å; angles 90.00, 90.00, 120.00 degrees
Space group R3 (No. 146, hexagonal axes)
Unique sites:
Th1 0.0000 0.0000 0.0000 x3
Co1 0.0037 0.4480 0.1321 x9
Co2 0.1631 0.8277 0.2751 x9
B1 0.0000 0.0000 0.1793 x3
B2 0.0000 0.0000 0.3735 x3
B3 0.0000 0.0000 0.7084 x3

Output
The final energy comes out at -7.211 eV per atom. As for the energy of formation: -0.202 eV/atom. The value obtained for the magnetic moment is 0.19 μB/atom.



No. 14
VASP calculation (PBE-GGA) on a relaxed structure of Dy3Tl5S12.

Cell lengths 15.956, 15.956, 15.956 Å; angles 90.00, 90.00, 90.00 degrees
Space group Ia-3d (No. 230)
Unique sites:
Dy1 0.000 0.250 0.125 x24
Tl1 0.000 0.000 0.000 x16
Tl2 0.000 0.250 0.375 x24
S1 0.018 0.068 0.654 x96

Output
The final energy comes out at -4.493 eV per atom. For the formation energy from raw total energies, the calculation gives -0.7348 eV per atom. The value obtained for the magnetic moment is 0.00 μB/atom.



No. 15
VASP calculation (PBE-GGA) on a relaxed structure of AcCdInO.

Cell lengths 4.514, 4.514, 9.849 Å; angles 90.00, 90.00, 90.00 degrees
Space group P4/nmm (No. 129, origin choice 2)
Unique sites:
Ac1 0.250 0.250 0.115 x2
Cd1 0.250 0.250 0.698 x2
In1 0.250 0.750 0.500 x2
O1 0.250 0.750 0.000 x2

Output
The final energy comes out at -4.650 eV per atom. For the formation energy from raw total energies, the calculation gives -1.4701 eV per atom. The value obtained for the magnetic moment is 0.00 μB/atom.



No. 16
VASP calculation (PBE-GGA) on a relaxed structure of CrBr3.

Cell lengths 3.367, 9.273, 10.580 Å; angles 90.00, 90.00, 90.00 degrees
Space group Cmmm (No. 65)
Unique sites:
Cr1 0.000 0.000 0.000 x2
Br1 0.000 0.000 0.500 x2
Br2 0.000 0.500 0.169 x4

Output
The final energy comes out at -3.911 eV per atom. For the formation energy from raw total energies, the calculation gives -0.2502 eV per atom. The value obtained for the magnetic moment is 0.91 μB/atom.



No. 17
VASP calculation (PBE-GGA) on a relaxed structure of La8P3NCl3.

Cell lengths 8.2895, 8.2895, 20.9058 Å; angles 90.00, 90.00, 120.00 degrees
Space group R-3m (No. 166, hexagonal axes)
Unique sites:
La1 0.0000 0.0000 0.2422 x6
La2 0.0306 0.5153 0.2372 x18
P1 0.0000 0.5000 0.5000 x9
N1 0.0000 0.0000 0.5000 x3
Cl1 0.0000 0.5000 0.0000 x9

Output
The final energy comes out at -6.150 eV per atom. For the formation energy from raw total energies, the calculation gives -1.5160 eV per atom. The value obtained for the magnetic moment is 0.05 μB/atom.



No. 18
VASP calculation (PBE-GGA) on a relaxed structure of BaTbMnS4.

Cell lengths 6.615, 6.284, 8.604 Å; angles 90.00, 107.78, 90.00 degrees
Space group P2_1/m (No. 11)
Unique sites:
Ba1 0.240 0.250 0.438 x2
Tb1 0.260 0.250 0.944 x2
Mn1 0.268 0.750 0.174 x2
S1 0.064 0.750 0.914 x2
S2 0.074 0.750 0.353 x2
S3 0.488 0.508 0.783 x4

Output
The final energy comes out at -6.118 eV per atom. For the formation energy from raw total energies, the calculation gives -1.5131 eV per atom. The value obtained for the magnetic moment is 0.57 μB/atom.



No. 19
VASP calculation (PBE-GGA) on a relaxed structure of La3Er5Tm2.

Cell lengths 9.529, 13.510, 11.100 Å; angles 90.00, 90.00, 90.00 degrees
Space group Ibam (No. 72)
Unique sites:
La1 0.000 0.000 0.250 x4
La2 0.246 0.370 0.000 x8
Er1 0.000 0.254 0.250 x8
Er2 0.000 0.500 0.250 x4
Er3 0.097 0.380 0.500 x8
Tm1 0.085 0.131 0.000 x8

Output
The final energy comes out at -4.270 eV per atom. As for the energy of formation: 0.384 eV/atom. The value obtained for the magnetic moment is 0.00 μB/atom.



No. 20
VASP calculation (PBE-GGA) on a relaxed structure of Be2TeF.

Cell lengths 6.046, 6.046, 6.046 Å; angles 90.00, 90.00, 90.00 degrees
Space group Fm-3m (No. 225)
Unique sites:
Be1 0.250 0.250 0.250 x8
Te1 0.000 0.000 0.000 x4
F1 0.000 0.000 0.500 x4

Output
The final energy comes out at -3.225 eV per atom. For the formation energy from raw total energies, the calculation gives -0.1083 eV per atom. For the excess energy over the best structure of this formula in the dataset, the calculation gives 0.4173 eV/atom. The value obtained for the magnetic moment is 0.00 μB/atom.